[1]
DFT (PBE) results for crystalline Na2PrPd9 at its relaxed geometry.

Computed properties:
ΔH_f (0 K) = -0.330 eV/atom
Crystal system = trigonal

Unit cell a=5.3744 b=5.3744 c=26.7222 alpha=90.00 beta=90.00 gamma=120.00
With the nearest neighbours (Å) after each atom.
Space group R-3m (No. 166, hexagonal axes)
One atom of each set of equivalent atoms:
Na  0.0000  0.0000  0.1449  12 Pd 3.14-3.18, 3 Na 3.31
Pr  0.0000  0.0000  0.0000  6 Pd 3.10
Pd  0.0000  0.0000  0.3330  6 Pd 2.72-2.75
Pd  0.0000  0.0000  0.5000  6 Pd 2.70
Pd  0.0018  0.5009  0.9156  7 Pd 2.67-2.75

[2]
DFT (PBE) results for crystalline Na2PrPd6 at its relaxed geometry.

Computed properties:
ΔH_f (0 K) = 0.008 eV/atom
Crystal system = cubic

Unit cell a=9.2410 b=9.2410 c=9.2410 alpha=90.00 beta=90.00 gamma=90.00
With the nearest neighbours (Å) after each atom.
Space group Fm-3m (No. 225)
One atom of each set of equivalent atoms:
Na  0.2500  0.2500  0.2500  12 Pd 3.29
Pr  0.0000  0.0000  0.0000  6 Pd 2.68
Pd  0.0000  0.0000  0.2902  1 Pr 2.68, 4 Pd 2.74